# LaSb2, PBEsol geometry, DFT SCAN
# Calculated density = 7.4 g/cm³
# Uncorrected energy = -120.23 eV/f.u.
# Total magnetization = 0.0 μB/f.u.
# Crystal system = monoclinic
# E_form (uncorrected) = -0.87 eV/atom
data_LaSb2
_chemical_formula_sum 'La4 Sb8'
_space_group_name_H-M_alt 'C 1 2/m 1'
_space_group_IT_number 12
_space_group_name_Hall '-C 2y'
_cell_length_a 11.2016
_cell_length_b 5.0375
_cell_length_c 6.3442
_cell_angle_alpha 90.00
_cell_angle_beta 106.62
_cell_angle_gamma 90.00
loop_
_atom_site_label
_atom_site_type_symbol
_atom_site_fract_x
_atom_site_fract_y
_atom_site_fract_z
La1 La 0.1206 0.0000 0.3025
Sb1 Sb 0.0000 0.5000 0.0000
Sb2 Sb 0.0000 0.5000 0.5000
Sb3 Sb 0.2019 0.0000 0.8552

***

# SiTeRh2, PBEsol geometry, DFT SCAN
# Calculated density = 9.4 g/cm³
# Uncorrected energy = -116.00 eV/f.u.
# Total magnetization = 0.0 μB/f.u.
# Crystal system = trigonal
# E_form (uncorrected) = -0.30 eV/atom
data_SiTeRh2
_chemical_formula_sum 'Si3 Te3 Rh6'
_space_group_name_H-M_alt 'R -3 m'
_space_group_IT_number 166
_space_group_name_Hall '-R 3 2"'
_cell_length_a 3.0674
_cell_length_b 3.0674
_cell_length_c 23.4229
_cell_angle_alpha 90.00
_cell_angle_beta 90.00
_cell_angle_gamma 120.00
loop_
_atom_site_label
_atom_site_type_symbol
_atom_site_fract_x
_atom_site_fract_y
_atom_site_fract_z
Si1 Si 0.0000 0.0000 0.0000
Te1 Te 0.0000 0.0000 0.5000
Rh1 Rh 0.0000 0.0000 0.2618

***

# Be2AlTc, PBEsol geometry, DFT SCAN
# Calculated density = 4.9 g/cm³
# Uncorrected energy = -50.91 eV/f.u.
# Formation energy = 0.1532 eV/atom
# Total magnetization = 0.2 μB/f.u.
# Crystal system = trigonal
data_Be2AlTc
_chemical_formula_sum 'Be6 Al3 Tc3'
_space_group_name_H-M_alt 'R -3 m'
_space_group_IT_number 166
_space_group_name_Hall '-R 3 2"'
_cell_length_a 2.6772
_cell_length_b 2.6772
_cell_length_c 23.5020
_cell_angle_alpha 90.00
_cell_angle_beta 90.00
_cell_angle_gamma 120.00
loop_
_atom_site_label
_atom_site_type_symbol
_atom_site_fract_x
_atom_site_fract_y
_atom_site_fract_z
Be1 Be 0.0000 0.0000 0.2467
Al1 Al 0.0000 0.0000 0.0000
Tc1 Tc 0.0000 0.0000 0.5000

***

# CoTe2Se, PBEsol geometry, DFT SCAN
# Calculated density = 7.9 g/cm³
# Uncorrected energy = -111.69 eV/f.u.
# Total magnetization = 0.0 μB/f.u.
# Crystal system = trigonal
# E_form (uncorrected) = 0.05 eV/atom
data_CoTe2Se
_chemical_formula_sum 'Co3 Te6 Se3'
_space_group_name_H-M_alt 'R -3 m'
_space_group_IT_number 166
_space_group_name_Hall '-R 3 2"'
_cell_length_a 3.6963
_cell_length_b 3.6963
_cell_length_c 21.0089
_cell_angle_alpha 90.00
_cell_angle_beta 90.00
_cell_angle_gamma 120.00
loop_
_atom_site_label
_atom_site_type_symbol
_atom_site_fract_x
_atom_site_fract_y
_atom_site_fract_z
Co1 Co 0.0000 0.0000 0.0000
Te1 Te 0.0000 0.0000 0.2684
Se1 Se 0.0000 0.0000 0.5000

***

# Li2CaPd2, PBEsol geometry, DFT SCAN
# Calculated density = 4.9 g/cm³
# Uncorrected energy = -82.23 eV/f.u.
# Formation energy = -0.4473 eV/atom
# Total magnetization = 0.0 μB/f.u.
# Crystal system = tetragonal
data_Li2CaPd2
_chemical_formula_sum 'Li4 Ca2 Pd4'
_space_group_name_H-M_alt 'I 4/m m m'
_space_group_IT_number 139
_space_group_name_Hall '-I 4 2'
_cell_length_a 3.8709
_cell_length_b 3.8709
_cell_length_c 12.0442
_cell_angle_alpha 90.00
_cell_angle_beta 90.00
_cell_angle_gamma 90.00
loop_
_atom_site_label
_atom_site_type_symbol
_atom_site_fract_x
_atom_site_fract_y
_atom_site_fract_z
Li1 Li 0.0000 0.5000 0.2500
Ca1 Ca 0.0000 0.0000 0.0000
Pd1 Pd 0.0000 0.0000 0.3911

***

# RbP2Ir2, PBEsol geometry, DFT SCAN
# Calculated density = 8.6 g/cm³
# Uncorrected energy = -187.43 eV/f.u.
# Formation energy = -0.7382 eV/atom
# Total magnetization = 0.0 μB/f.u.
# Crystal system = tetragonal
data_RbP2Ir2
_chemical_formula_sum 'Rb2 P4 Ir4'
_space_group_name_H-M_alt 'I 4/m m m'
_space_group_IT_number 139
_space_group_name_Hall '-I 4 2'
_cell_length_a 3.9197
_cell_length_b 3.9197
_cell_length_c 13.4376
_cell_angle_alpha 90.00
_cell_angle_beta 90.00
_cell_angle_gamma 90.00
loop_
_atom_site_label
_atom_site_type_symbol
_atom_site_fract_x
_atom_site_fract_y
_atom_site_fract_z
Rb1 Rb 0.0000 0.0000 0.0000
P1 P 0.0000 0.0000 0.3455
Ir1 Ir 0.0000 0.5000 0.2500